{"formula": "LiLaWO2", "functional": "PBE+U", "state": "optimized geometry", "lattice_angstrom": [[4.3149, 0.0000, 0.0000], [0.0000, 4.3149, 0.0000], [0.0000, 0.0000, 4.2372]], "species": ["Li", "La", "W", "O", "O"], "fractional_positions": [[0.0000, 0.0000, 0.0000], [0.5000, 0.5000, 0.5000], [0.0000, 0.0000, 0.5000], [0.0000, 0.5000, 0.0000], [0.5000, 0.0000, 0.0000]], "e_tot_ev_per_atom": -4.95, "m_tot_mub_per_cell": 5.16, "n_ef_per_ev_atom": 0.48}